# FeTe2NO

FeTe2NO after structural relaxation (PBE with a Hubbard U, Alexandria).

It has space group P4/mmm (No. 123), with a = 5.2604 Å, b = 5.2604 Å, c = 3.4270 Å, α = 90.00°, β = 90.00° and γ = 90.00°. The inequivalent atoms are Fe at (0.0000, 0.0000, 0.0000), Te at (0.0000, 0.5000, 0.0000), N at (0.0000, 0.0000, 0.5000) and O at (0.5000, 0.5000, 0.5000).

Its crystal system is tetragonal. The energy relative to the lowest polymorph listed for this composition is 0 meV/atom. The total energy comes out at -20.2 eV/f.u.